No. 1
# BeAu2Cl PBE optimized geometry
# Crystal system: tetragonal
# Formation energy (no corrections) (kcal/mol of atoms): 2.496
# E_tot (eV per atom): -2.92
data_BeAu2Cl
_cell_length_a 3.282
_cell_length_b 3.286
_cell_length_c 6.728
_cell_angle_alpha 90.00
_cell_angle_beta 90.00
_cell_angle_gamma 90.00
_space_group_name_H-M_alt 'P 1'
_space_group_IT_number 1
loop_
_space_group_symop_operation_xyz
'x,y,z'
loop_
_atom_site_label
_atom_site_type_symbol
_atom_site_fract_x
_atom_site_fract_y
_atom_site_fract_z
Be1 Be 0.000 0.000 0.393
Au1 Au 0.000 0.000 0.035
Au2 Au 0.500 0.500 0.304
Cl1 Cl 0.500 0.500 0.768


No. 2
# KBe2AuCl PBE optimized geometry
# Crystal system: tetragonal
# Formation energy (no corrections) (kcal/mol of atoms): 17.587
# E_tot (eV per atom): -1.97
data_KBe2AuCl
_cell_length_a 4.508
_cell_length_b 5.538
_cell_length_c 4.508
_cell_angle_alpha 90.00
_cell_angle_beta 90.00
_cell_angle_gamma 90.00
_space_group_name_H-M_alt 'P 1'
_space_group_IT_number 1
loop_
_space_group_symop_operation_xyz
'x,y,z'
loop_
_atom_site_label
_atom_site_type_symbol
_atom_site_fract_x
_atom_site_fract_y
_atom_site_fract_z
Be1 Be 0.000 0.000 0.500
Be2 Be 0.500 0.000 0.000
K1 K 0.000 0.500 0.000
Au1 Au 0.500 0.500 0.500
Cl1 Cl 0.000 0.000 0.000


No. 3
# MgBe2AuCl PBE optimized geometry
# Crystal system: tetragonal
# Formation energy (no corrections) (kcal/mol of atoms): 23.557
# E_tot (eV per atom): -1.81
data_MgBe2AuCl
_cell_length_a 5.024
_cell_length_b 4.622
_cell_length_c 5.024
_cell_angle_alpha 90.00
_cell_angle_beta 90.00
_cell_angle_gamma 90.00
_space_group_name_H-M_alt 'P 1'
_space_group_IT_number 1
loop_
_space_group_symop_operation_xyz
'x,y,z'
loop_
_atom_site_label
_atom_site_type_symbol
_atom_site_fract_x
_atom_site_fract_y
_atom_site_fract_z
Be1 Be 0.000 0.000 0.500
Be2 Be 0.500 0.000 0.000
Mg1 Mg 0.000 0.000 0.000
Au1 Au 0.500 0.500 0.500
Cl1 Cl 0.000 0.500 0.000


No. 4
# Mg2BeAuCl PBE optimized geometry
# Crystal system: tetragonal
# Formation energy (no corrections) (kcal/mol of atoms): -3.098
# E_tot (eV per atom): -2.54
data_Mg2BeAuCl
_cell_length_a 5.025
_cell_length_b 5.025
_cell_length_c 4.223
_cell_angle_alpha 90.00
_cell_angle_beta 90.00
_cell_angle_gamma 90.00
_space_group_name_H-M_alt 'P 1'
_space_group_IT_number 1
loop_
_space_group_symop_operation_xyz
'x,y,z'
loop_
_atom_site_label
_atom_site_type_symbol
_atom_site_fract_x
_atom_site_fract_y
_atom_site_fract_z
Be1 Be 0.000 0.000 0.000
Mg1 Mg 0.000 0.500 0.000
Mg2 Mg 0.500 0.000 0.000
Au1 Au 0.000 0.000 0.500
Cl1 Cl 0.500 0.500 0.500


No. 5
# MgBe2AuCl PBE optimized geometry
# Crystal system: tetragonal
# Formation energy (no corrections) (kcal/mol of atoms): 25.078
# E_tot (eV per atom): -1.75
data_MgBe2AuCl
_cell_length_a 4.953
_cell_length_b 4.918
_cell_length_c 4.953
_cell_angle_alpha 90.00
_cell_angle_beta 90.00
_cell_angle_gamma 90.00
_space_group_name_H-M_alt 'P 1'
_space_group_IT_number 1
loop_
_space_group_symop_operation_xyz
'x,y,z'
loop_
_atom_site_label
_atom_site_type_symbol
_atom_site_fract_x
_atom_site_fract_y
_atom_site_fract_z
Be1 Be 0.000 0.000 0.500
Be2 Be 0.500 0.000 0.000
Mg1 Mg 0.000 0.000 0.000
Au1 Au 0.000 0.500 0.000
Cl1 Cl 0.500 0.500 0.500


No. 6
# Be2PAuCl PBE optimized geometry
# Crystal system: tetragonal
# Formation energy (no corrections) (kcal/mol of atoms): 26.587
# E_tot (eV per atom): -2.44
data_Be2PAuCl
_cell_length_a 3.943
_cell_length_b 5.696
_cell_length_c 3.943
_cell_angle_alpha 90.00
_cell_angle_beta 90.00
_cell_angle_gamma 90.00
_space_group_name_H-M_alt 'P 1'
_space_group_IT_number 1
loop_
_space_group_symop_operation_xyz
'x,y,z'
loop_
_atom_site_label
_atom_site_type_symbol
_atom_site_fract_x
_atom_site_fract_y
_atom_site_fract_z
P1 P 0.500 0.500 0.500
Au1 Au 0.000 0.500 0.000
Be1 Be 0.000 0.000 0.500
Be2 Be 0.500 0.000 0.000
Cl1 Cl 0.000 0.000 0.000


No. 7
# BePAuCl2 PBE optimized geometry
# Crystal system: tetragonal
# Formation energy (no corrections) (kcal/mol of atoms): 20.105
# E_tot (eV per atom): -2.35
data_BePAuCl2
_cell_length_a 5.068
_cell_length_b 5.068
_cell_length_c 4.882
_cell_angle_alpha 90.00
_cell_angle_beta 90.00
_cell_angle_gamma 90.00
_space_group_name_H-M_alt 'P 1'
_space_group_IT_number 1
loop_
_space_group_symop_operation_xyz
'x,y,z'
loop_
_atom_site_label
_atom_site_type_symbol
_atom_site_fract_x
_atom_site_fract_y
_atom_site_fract_z
P1 P 0.000 0.000 0.500
Au1 Au 0.000 0.000 0.000
Be1 Be 0.500 0.500 0.500
Cl1 Cl 0.000 0.500 0.000
Cl2 Cl 0.500 0.000 0.000


No. 8
# BePAuCl2 PBE optimized geometry
# Crystal system: tetragonal
# Formation energy (no corrections) (kcal/mol of atoms): 2.772
# E_tot (eV per atom): -3.10
data_BePAuCl2
_cell_length_a 4.030
_cell_length_b 4.030
_cell_length_c 7.422
_cell_angle_alpha 90.00
_cell_angle_beta 90.00
_cell_angle_gamma 90.00
_space_group_name_H-M_alt 'P 1'
_space_group_IT_number 1
loop_
_space_group_symop_operation_xyz
'x,y,z'
loop_
_atom_site_label
_atom_site_type_symbol
_atom_site_fract_x
_atom_site_fract_y
_atom_site_fract_z
P1 P 0.000 0.000 0.500
Au1 Au 0.500 0.500 0.500
Be1 Be 0.000 0.000 0.000
Cl1 Cl 0.000 0.500 0.000
Cl2 Cl 0.500 0.000 0.000


No. 9
# Be2PdAuCl PBE optimized geometry
# Crystal system: tetragonal
# Formation energy (no corrections) (kcal/mol of atoms): 18.154
# E_tot (eV per atom): -2.77
data_Be2PdAuCl
_cell_length_a 4.249
_cell_length_b 6.091
_cell_length_c 4.249
_cell_angle_alpha 90.00
_cell_angle_beta 90.00
_cell_angle_gamma 90.00
_space_group_name_H-M_alt 'P 1'
_space_group_IT_number 1
loop_
_space_group_symop_operation_xyz
'x,y,z'
loop_
_atom_site_label
_atom_site_type_symbol
_atom_site_fract_x
_atom_site_fract_y
_atom_site_fract_z
Be1 Be 0.000 0.000 0.500
Be2 Be 0.500 0.000 0.000
Au1 Au 0.000 0.000 0.000
Pd1 Pd 0.500 0.500 0.500
Cl1 Cl 0.000 0.500 0.000


No. 10
# Rb2BeAuCl6 PBE optimized geometry
# Crystal system: tetragonal
# Formation energy (no corrections) (kcal/mol of atoms): -26.303
# E_tot (eV per atom): -3.14
data_Rb2BeAuCl6
_cell_length_a 7.121
_cell_length_b 7.121
_cell_length_c 7.318
_cell_angle_alpha 60.89
_cell_angle_beta 60.89
_cell_angle_gamma 90.00
_space_group_name_H-M_alt 'P 1'
_space_group_IT_number 1
loop_
_space_group_symop_operation_xyz
'x,y,z'
loop_
_atom_site_label
_atom_site_type_symbol
_atom_site_fract_x
_atom_site_fract_y
_atom_site_fract_z
Be1 Be 0.500 0.500 0.000
Au1 Au 0.000 0.000 0.000
Rb1 Rb 0.750 0.250 0.500
Rb2 Rb 0.250 0.750 0.500
Cl1 Cl 0.220 0.220 0.560
Cl2 Cl 0.780 0.780 0.440
Cl3 Cl 0.286 0.286 0.000
Cl4 Cl 0.714 0.714 0.000
Cl5 Cl 0.714 0.286 0.000
Cl6 Cl 0.286 0.714 0.000